A geometry-optimized Pm2YSn2 structure. Source: Alexandria via LeMat-Bulk, functional PBE.

```
data_Pm2YSn2
_cell_length_a 8.1438
_cell_length_b 8.1438
_cell_length_c 4.5172
_cell_angle_alpha 90.00
_cell_angle_beta 90.00
_cell_angle_gamma 90.00
_space_group_name_H-M_alt 'P 4/m b m'
_space_group_IT_number 127
_space_group_name_Hall '-P 4 2ab'
loop_
_atom_site_label
_atom_site_fract_x
_atom_site_fract_y
_atom_site_fract_z
Pm1 0.1711 0.3289 0.0000
Y1 0.0000 0.0000 0.5000
Sn1 0.1309 0.6309 0.5000
```

The value obtained for the density of states at the Fermi level is 4.60 states/eV/f.u. The total energy comes out at -55.227 eV per cell. The value obtained for the energy relative to the lowest polymorph listed for this composition is 0 meV per atom. For the formation enthalpy at 0 K, the calculation gives -0.7285 eV/atom.